Crystalline Ti4Mn3Zn at its relaxed geometry, computed with PBE.

a = 3.037 Å, b = 4.336 Å, c = 8.371 Å
α = 90.00°, β = 90.00°, γ = 90.00°
Fractional positions:
Ti1 0.000 0.000 0.000
Ti2 0.000 0.000 0.500
Ti3 0.000 0.500 0.234
Ti4 0.000 0.500 0.766
Mn1 0.500 0.000 0.252
Mn2 0.500 0.000 0.748
Mn3 0.500 0.500 0.000
Zn1 0.500 0.500 0.500

calculated total energy = -7.759 eV per atom
energy relative to the elements = -1.7 eV/f.u.